# 1
VASP calculation (PBE-GGA) on a geometry-optimized Tb7CdRu4 structure.

Cell lengths 7.3437, 7.3437, 9.6912 Å; angles 123.46, 123.46, 43.99 degrees
Sites, in units of the cell vectors:
Tb1 0.0000 0.0000 0.0000
Tb2 0.1793 0.1793 0.6317
Tb3 0.2874 0.2874 0.1222
Tb4 0.4232 0.4232 0.6259
Tb5 0.5768 0.5768 0.3741
Tb6 0.7126 0.7126 0.8778
Tb7 0.8207 0.8207 0.3683
Cd1 0.5000 0.5000 0.0000
Ru1 0.0650 0.0650 0.7772
Ru2 0.1986 0.1986 0.3467
Ru3 0.8014 0.8014 0.6533
Ru4 0.9350 0.9350 0.2228

Results
For the calculated volume, the calculation gives 291.86 Å³ per cell. The space group is No. 12. For the density of states at the Fermi level, the calculation gives 8.469 states/eV/f.u.

***

# 2
VASP calculation (PBE-GGA) on a geometry-optimized Tb12CdRu6 structure.

Cell lengths 8.5550, 8.5550, 8.5550 Å; angles 109.47, 109.47, 109.47 degrees
Sites, in units of the cell vectors:
Tb1 0.1005 0.8038 0.2967
Tb2 0.1962 0.2967 0.4929
Tb3 0.1962 0.7033 0.8995
Tb4 0.2967 0.1005 0.8038
Tb5 0.2967 0.4929 0.1962
Tb6 0.4929 0.1962 0.2967
Tb7 0.5071 0.8038 0.7033
Tb8 0.7033 0.5071 0.8038
Tb9 0.7033 0.8995 0.1962
Tb10 0.8038 0.2967 0.1005
Tb11 0.8038 0.7033 0.5071
Tb12 0.8995 0.1962 0.7033
Cd1 0.0000 0.0000 0.0000
Ru1 0.1239 0.6239 0.5000
Ru2 0.3761 0.5000 0.8761
Ru3 0.5000 0.1239 0.6239
Ru4 0.5000 0.8761 0.3761
Ru5 0.6239 0.5000 0.1239
Ru6 0.8761 0.3761 0.5000

Results
For the calculated volume, the calculation gives 482.00 Å³ per cell. The offset from the most stable computed form comes out at 0 meV/atom. The space group is No. 204. For the density of states at the Fermi level, the calculation gives 18.884 states/eV/f.u.

***

no.,raw total energy (eV/atom),calculated density (g/cm3)
1,-5.9581,9.27
2,-6.1678,9.05